# PmPuRu2

An optimized crystal structure of PmPuRu2 (GGA-PBE, Alexandria).

Properties
ρ: 11.12 Mg/m³
Size of the total moment: 1.10 μB/atom
Distance to the lowest polymorph of the same formula: 0.63 eV per formula unit
Calculated volume: 22.1 Å³ per atom
E: -9.462 eV/atom
Energy of formation: -0.054 eV/atom

Lattice parameters (Å, degrees): 5.9071 4.4456 13.4405 90.00 90.00 90.00
Closest atoms and distances in Å follow each position.
Fractional positions:
Pm (0.0018, 0.2500, 0.1235)  3 Ru 2.82-3.01
Pm (0.4982, 0.7500, 0.6235)  3 Ru 2.82-3.01
Pm (0.5018, 0.2500, 0.3765)  3 Ru 2.82-3.01
Pm (0.9982, 0.7500, 0.8765)  3 Ru 2.82-3.01
Pu (0.0009, 0.7500, 0.4239)  4 Ru 2.54-2.77
Pu (0.4991, 0.2500, 0.9239)  4 Ru 2.54-2.77
Pu (0.5009, 0.7500, 0.0761)  4 Ru 2.54-2.77
Pu (0.9991, 0.2500, 0.5761)  4 Ru 2.54-2.77
Ru (0.0022, 0.2500, 0.3329)  2 Pu 2.54, 1 Pm 2.82
Ru (0.2478, 0.2500, 0.7501)  2 Pu 2.76-2.77, 6 Ru 2.89-2.95
Ru (0.2522, 0.7500, 0.2501)  2 Pu 2.76-2.77, 6 Ru 2.89-2.95
Ru (0.4978, 0.7500, 0.8329)  2 Pu 2.54, 1 Pm 2.82
Ru (0.5022, 0.2500, 0.1671)  2 Pu 2.54, 1 Pm 2.82
Ru (0.7478, 0.2500, 0.7499)  2 Pu 2.76-2.77, 6 Ru 2.89-2.95
Ru (0.7522, 0.7500, 0.2499)  2 Pu 2.76-2.77, 6 Ru 2.89-2.95
Ru (0.9978, 0.7500, 0.6671)  2 Pu 2.54, 1 Pm 2.82

# Pm2PuRu3

An optimized crystal structure of Pm2PuRu3 (GGA-PBE, Alexandria).

Properties
ρ: 11.50 Mg/m³
Size of the total moment: 0.48 μB/atom
Distance to the lowest polymorph of the same formula: 0.00 eV per formula unit
Calculated volume: 20.2 Å³ per atom
E: -8.897 eV/atom
Energy of formation: -0.287 eV/atom

Lattice parameters (Å, degrees): 5.8632 5.8632 8.1245 90.00 90.00 120.00
Closest atoms and distances in Å follow each position.
Fractional positions:
Pm (0.3333, 0.6667, 0.0616)  9 Ru 3.04-3.31, 1 Pm 3.06
Pm (0.3333, 0.6667, 0.4384)  9 Ru 3.04-3.31, 1 Pm 3.06
Pm (0.6667, 0.3333, 0.5616)  9 Ru 3.04-3.31, 1 Pm 3.06
Pm (0.6667, 0.3333, 0.9384)  9 Ru 3.04-3.31, 1 Pm 3.06
Pu (0.0000, 0.0000, 0.0000)  6 Ru 2.64
Pu (0.0000, 0.0000, 0.5000)  6 Ru 2.64
Ru (0.1668, 0.3336, 0.7500)  2 Pu 2.64, 4 Ru 2.93
Ru (0.1668, 0.8332, 0.7500)  2 Pu 2.64, 4 Ru 2.93
Ru (0.3336, 0.1668, 0.2500)  2 Pu 2.64, 4 Ru 2.93
Ru (0.6664, 0.8332, 0.7500)  2 Pu 2.64, 4 Ru 2.93
Ru (0.8332, 0.1668, 0.2500)  2 Pu 2.64, 4 Ru 2.93
Ru (0.8332, 0.6664, 0.2500)  2 Pu 2.64, 4 Ru 2.93

# PmPu2Ru3

An optimized crystal structure of PmPu2Ru3 (GGA-PBE, Alexandria).

Properties
ρ: 12.97 Mg/m³
Size of the total moment: 1.38 μB/atom
Calculated volume: 20.0 Å³ per atom
E: -10.356 eV/atom
Energy of formation: -0.149 eV/atom

Lattice parameters (Å, degrees): 3.3902 3.3902 10.4328 90.00 90.00 90.00
Closest atoms and distances in Å follow each position.
Fractional positions:
Pm (0.0000, 0.0000, 0.0000)  8 Ru 3.11, 4 Pm 3.39
Pu (0.0000, 0.0000, 0.3376)  8 Ru 2.85-2.94
Pu (0.0000, 0.0000, 0.6624)  8 Ru 2.85-2.94
Ru (0.5000, 0.5000, 0.1901)  4 Pu 2.85, 4 Pm 3.11
Ru (0.5000, 0.5000, 0.5000)  8 Pu 2.94, 2 Ru 3.23
Ru (0.5000, 0.5000, 0.8099)  4 Pu 2.85, 4 Pm 3.11